Record 1
Computed, not measured: an optimized crystal structure of KFe2As2 at the GGA-PBE level of DFT.

Output
M_tot (μB/cell): 2.93
Formation enthalpy at 0 K (eV per atom): -0.294
E_tot (eV/atom): -5.7584
V (Å³/cell): 198
DOS(E_F) (states/eV per cell): 8.2

Cell and atoms, written as CIF:
```
data_KFe2As2
_cell_length_a 3.743
_cell_length_b 3.743
_cell_length_c 14.164
_cell_angle_alpha 90.00
_cell_angle_beta 90.00
_cell_angle_gamma 90.00
_symmetry_space_group_name_H-M 'P 1'
_symmetry_Int_Tables_number 1
_symmetry_space_group_name_Hall 'P 1'
loop_
_atom_site_label
_atom_site_fract_x
_atom_site_fract_y
_atom_site_fract_z
K1 0.000 0.000 0.000
K2 0.500 0.500 0.500
Fe1 0.000 0.500 0.250
Fe2 0.000 0.500 0.750
Fe3 0.500 0.000 0.250
Fe4 0.500 0.000 0.750
As1 0.000 0.000 0.349
As2 0.000 0.000 0.651
As3 0.500 0.500 0.151
As4 0.500 0.500 0.849
```

***

Record 2
Computed, not measured: an optimized crystal structure of KFe3As3 at the GGA-PBE level of DFT.

Output
M_tot (μB/cell): 9.76
Formation enthalpy at 0 K (eV per atom): -0.124
E_tot (eV/atom): -5.9008
V (Å³/cell): 296
DOS(E_F) (states/eV per cell): 10.8

Cell and atoms, written as CIF:
```
data_KFe3As3
_cell_length_a 9.013
_cell_length_b 9.013
_cell_length_c 9.013
_cell_angle_alpha 41.97
_cell_angle_beta 41.97
_cell_angle_gamma 41.97
_symmetry_space_group_name_H-M 'P 1'
_symmetry_Int_Tables_number 1
_symmetry_space_group_name_Hall 'P 1'
loop_
_atom_site_label
_atom_site_fract_x
_atom_site_fract_y
_atom_site_fract_z
K1 0.171 0.171 0.171
K2 0.829 0.829 0.829
Fe1 0.010 0.611 0.292
Fe2 0.292 0.010 0.611
Fe3 0.389 0.708 0.990
Fe4 0.611 0.292 0.010
Fe5 0.708 0.990 0.389
Fe6 0.990 0.389 0.708
As1 0.107 0.717 0.375
As2 0.283 0.625 0.893
As3 0.375 0.107 0.717
As4 0.625 0.893 0.283
As5 0.717 0.375 0.107
As6 0.893 0.283 0.625
```

***

Record 3
Computed, not measured: an optimized crystal structure of KFeAs3 at the GGA-PBE level of DFT.

Output
M_tot (μB/cell): 0.84
Formation enthalpy at 0 K (eV per atom): 2.328
E_tot (eV/atom): -2.3739
Distance to the lowest polymorph of the same formula (meV per atom): 2123.2
V (Å³/cell): 149
DOS(E_F) (states/eV per cell): 13.4

Cell and atoms, written as CIF:
```
data_KFeAs3
_cell_length_a 5.306
_cell_length_b 5.306
_cell_length_c 5.306
_cell_angle_alpha 90.00
_cell_angle_beta 90.00
_cell_angle_gamma 90.00
_symmetry_space_group_name_H-M 'P 1'
_symmetry_Int_Tables_number 1
_symmetry_space_group_name_Hall 'P 1'
loop_
_atom_site_label
_atom_site_fract_x
_atom_site_fract_y
_atom_site_fract_z
K1 0.000 0.000 0.000
Fe1 0.500 0.500 0.500
As1 0.000 0.000 0.500
As2 0.000 0.500 0.000
As3 0.500 0.000 0.000
```

***

Record 4
Computed, not measured: an optimized crystal structure of KFeAs at the GGA-PBE level of DFT.

Output
M_tot (μB/cell): 4.56
Formation enthalpy at 0 K (eV per atom): -0.134
E_tot (eV/atom): -4.8706
V (Å³/cell): 164
DOS(E_F) (states/eV per cell): 4.0

Cell and atoms, written as CIF:
```
data_KFeAs
_cell_length_a 4.139
_cell_length_b 6.393
_cell_length_c 6.794
_cell_angle_alpha 105.97
_cell_angle_beta 107.69
_cell_angle_gamma 90.11
_symmetry_space_group_name_H-M 'P 1'
_symmetry_Int_Tables_number 1
_symmetry_space_group_name_Hall 'P 1'
loop_
_atom_site_label
_atom_site_fract_x
_atom_site_fract_y
_atom_site_fract_z
K1 0.098 0.308 0.196
K2 0.902 0.692 0.804
Fe1 0.215 0.897 0.431
Fe2 0.785 0.103 0.569
As1 0.369 0.203 0.738
As2 0.631 0.797 0.262
```

***

Record 5
Computed, not measured: an optimized crystal structure of K2FeAs2 at the GGA-PBE level of DFT.

Output
M_tot (μB/cell): 0.00
Formation enthalpy at 0 K (eV per atom): -0.084
E_tot (eV/atom): -4.0753
V (Å³/cell): 223
DOS(E_F) (states/eV per cell): 0.0

Cell and atoms, written as CIF:
```
data_K2FeAs2
_cell_length_a 6.302
_cell_length_b 6.302
_cell_length_c 5.615
_cell_angle_alpha 90.00
_cell_angle_beta 90.00
_cell_angle_gamma 90.00
_symmetry_space_group_name_H-M 'P 1'
_symmetry_Int_Tables_number 1
_symmetry_space_group_name_Hall 'P 1'
loop_
_atom_site_label
_atom_site_fract_x
_atom_site_fract_y
_atom_site_fract_z
K1 0.174 0.326 0.000
K2 0.326 0.826 0.000
K3 0.674 0.174 0.000
K4 0.826 0.674 0.000
Fe1 0.000 0.000 0.500
Fe2 0.500 0.500 0.500
As1 0.148 0.648 0.500
As2 0.352 0.148 0.500
As3 0.648 0.852 0.500
As4 0.852 0.352 0.500
```

***

Record 6
Computed, not measured: an optimized crystal structure of KFeAs at the GGA-PBE level of DFT.

Output
M_tot (μB/cell): 15.03
Formation enthalpy at 0 K (eV per atom): 0.586
E_tot (eV/atom): -4.1506
V (Å³/cell): 285
DOS(E_F) (states/eV per cell): 26.3

Cell and atoms, written as CIF:
```
data_KFeAs
_cell_length_a 6.581
_cell_length_b 6.581
_cell_length_c 6.581
_cell_angle_alpha 90.00
_cell_angle_beta 90.00
_cell_angle_gamma 90.00
_symmetry_space_group_name_H-M 'P 1'
_symmetry_Int_Tables_number 1
_symmetry_space_group_name_Hall 'P 1'
loop_
_atom_site_label
_atom_site_fract_x
_atom_site_fract_y
_atom_site_fract_z
K1 0.000 0.000 0.000
K2 0.000 0.500 0.500
K3 0.500 0.000 0.500
K4 0.500 0.500 0.000
Fe1 0.250 0.250 0.750
Fe2 0.250 0.750 0.250
Fe3 0.750 0.250 0.250
Fe4 0.750 0.750 0.750
As1 0.000 0.000 0.500
As2 0.000 0.500 0.000
As3 0.500 0.000 0.000
As4 0.500 0.500 0.500
```